a.
InRu2W PBE relaxed; symmetry = Fm-3m, No. 225; magnetic moment = 0.00 μB/f.u.
1.0
0.0000 3.1648 3.1648
3.1648 0.0000 3.1648
3.1648 3.1648 0.0000
In Ru W
1 2 1
Direct
0.0000 0.0000 0.0000
0.2500 0.2500 0.2500
0.7500 0.7500 0.7500
0.5000 0.5000 0.5000


b.
InRu2W PBE relaxed; symmetry = P4mm, No. 99; magnetic moment = 0.00 μB/f.u.
1.0
2.8402 0.0000 0.0000
0.0000 2.8402 0.0000
0.0000 0.0000 7.9711
W In Ru
1 1 2
Direct
0.0000 0.0000 0.4766
0.5000 0.5000 0.7615
0.0000 0.0000 0.0204
0.5000 0.5000 0.2415


c.
InRu2W PBE relaxed; symmetry = F-43m, No. 216; magnetic moment = 1.84 μB/f.u.
1.0
4.5092 0.0000 0.0000
2.2546 3.9050 0.0000
2.2546 1.3017 3.6817
Ru W In
2 1 1
Direct
0.7500 0.7500 0.7500
0.0000 0.0000 0.0000
0.2500 0.2500 0.2500
0.5000 0.5000 0.5000


a has the most favorable energy; the next structure is 0.160 eV/atom above.